Record 1
DFT (GGA-PBE) results for a relaxed structure of Nb3Te2Se4.

Summary:
- M_tot: 0.0058 μB per atom
- Formation energy without anion corrections: -0.70 eV per atom

Structure (POSCAR):
```
Nb3Te2Se4
1.0
-0.7061 2.9046 -1.8594
-0.5627 -3.1747 -1.4132
-20.2590 0.0983 7.8466
Nb Te Se
3 2 4
Direct
0.0000 0.0000 0.3344 Nb
0.6667 0.3333 0.6480 Nb
0.0000 0.0000 0.9766 Nb
0.6667 0.3333 0.8875 Te
0.6667 0.3333 0.0658 Te
0.6667 0.3333 0.4112 Se
0.0000 0.0000 0.5712 Se
0.0000 0.0000 0.7249 Se
0.6667 0.3333 0.2575 Se
```

Record 2
DFT (GGA-PBE) results for a relaxed structure of CaCr2Tc.

Summary:
- Energy relative to the lowest polymorph listed for this composition: 195 meV/atom
- M_tot: 0.1847 μB per atom
- Calculated formation energy: 2.612 eV per formula unit

Structure (POSCAR):
```
CaCr2Tc
1.0
5.4077 -0.0336 -0.0050
2.3958 4.8481 0.0050
-3.2124 -3.5246 2.5499
Ca Cr Tc
1 2 1
Direct
0.2541 0.7541 0.5000 Ca
0.9688 0.9688 0.0000 Cr
0.7457 0.2457 0.5000 Cr
0.5314 0.5314 0.0000 Tc
```

Record 3
DFT (GGA-PBE) results for a relaxed structure of BeAgPt4.

Summary:
- M_tot: 0.0000 μB per atom
- Calculated formation energy: 1.307 eV per formula unit

Structure (POSCAR):
```
BeAgPt4
1.0
4.5324 1.2769 2.3163
0.3879 -0.0855 5.2326
2.8761 -3.7024 2.3576
Pt Be Ag
4 1 1
Direct
0.8755 0.3748 0.3748 Pt
0.3748 0.3748 0.8755 Pt
0.3748 0.8755 0.3748 Pt
0.3748 0.3748 0.3748 Pt
0.0000 0.0000 0.0000 Be
0.7500 0.7500 0.7500 Ag
```

Record 4
DFT (GGA-PBE) results for a relaxed structure of TcF4.

Summary:
- Energy relative to the lowest polymorph listed for this composition: 525 meV/atom
- M_tot: 0.6993 μB per atom
- Formation energy without anion corrections: -1.45 eV per atom

Structure (POSCAR):
```
TcF4
1.0
4.0032 0.0000 0.0000
0.0000 4.0032 0.0000
0.0000 0.0000 4.0032
Tc F
1 4
Direct
0.5000 0.5000 0.5000 Tc
0.5000 0.0000 0.5000 F
0.0000 0.5000 0.5000 F
0.5000 0.5000 0.0000 F
0.0000 0.0000 0.0000 F
```